No. 1
# Rb2PaAg2Se6 | the Alexandria database | PBE | optimized geometry
data_Rb2PaAg2Se6
_chemical_formula_sum 'Rb2 Pa1 Ag2 Se6'
_space_group_name_H-M_alt 'P 1'
_space_group_IT_number 1
_cell_length_a 5.762
_cell_length_b 7.974
_cell_length_c 9.752
_cell_angle_alpha 117.61
_cell_angle_beta 90.00
_cell_angle_gamma 111.18
loop_
_space_group_symop_operation_xyz
'x,y,z'
loop_
_atom_site_label
_atom_site_fract_x
_atom_site_fract_y
_atom_site_fract_z
Ag1 0.889 0.778 0.641
Ag2 0.111 0.222 0.359
Se1 0.197 0.882 0.213
Se2 0.803 0.118 0.787
Se3 0.300 0.599 0.424
Se4 0.685 0.882 0.213
Se5 0.315 0.118 0.787
Se6 0.700 0.401 0.576
Pa1 0.500 0.000 0.500
Rb1 0.303 0.607 0.816
Rb2 0.697 0.393 0.184
# formation energy without anion corrections = -70.1 kJ/mol of atoms
# E_tot = -46.04 eV per cell
# D(E_F) = 0.3856 states/eV/atom

=====

No. 2
# MnSe2Cl | the Alexandria database | PBE | optimized geometry
data_MnSe2Cl
_chemical_formula_sum 'Mn1 Se2 Cl1'
_space_group_name_H-M_alt 'P 1'
_space_group_IT_number 1
_cell_length_a 9.765
_cell_length_b 9.765
_cell_length_c 9.765
_cell_angle_alpha 19.21
_cell_angle_beta 19.21
_cell_angle_gamma 19.21
loop_
_space_group_symop_operation_xyz
'x,y,z'
loop_
_atom_site_label
_atom_site_fract_x
_atom_site_fract_y
_atom_site_fract_z
Mn1 0.745 0.745 0.745
Se1 0.026 0.026 0.026
Se2 0.264 0.264 0.264
Cl1 0.464 0.464 0.464
# formation energy without anion corrections = -19.1 kJ/mol of atoms
# E_tot = -18.78 eV per cell
# D(E_F) = 0.5160 states/eV/atom
# E above lowest polymorph = 269 meV per atom

=====

Number 1: volume 32.96 Å³/atom. Number 2: volume 22.03 Å³/atom.